DFT (GGA-PBEsol) results for a relaxed CaFeTe crystal.

Summary:
- E_tot: -4.955 eV per atom

Lattice parameters (Å, degrees): 3.5135 3.5135 10.5611 90.00 90.00 90.00
Last column: nearest neighbours and their distance in Å.
Space group I4mm (No. 107)
One atom of each set of equivalent atoms:
Ca (0.0000, 0.0000, 0.0000) [2 per cell]  5 Te 3.09-3.31, 5 Fe 3.20-3.24
Fe (0.0000, 0.0000, 0.6968) [2 per cell]  4 Te 2.68
Te (0.0000, 0.0000, 0.2928) [2 per cell]  4 Fe 2.68

---

DFT (GGA-PBEsol) results for a relaxed CaFeW crystal.

Summary:
- E_tot: -7.768 eV per atom
- DFT formation energy: 0.5338 eV per atom
- Relative energy among the computed polymorphs: 0 meV per atom

Lattice parameters (Å, degrees): 3.0696 3.0696 11.5410 90.00 90.00 90.00
Last column: nearest neighbours and their distance in Å.
Space group I4mm (No. 107)
One atom of each set of equivalent atoms:
Ca (0.0000, 0.0000, 0.0000) [2 per cell]  4 Ca 3.07, 4 Fe 3.15, 5 W 3.29
Fe (0.0000, 0.0000, 0.3025) [2 per cell]  4 W 2.40
W (0.0000, 0.0000, 0.7147) [2 per cell]  4 Fe 2.40

---

DFT (GGA-PBEsol) results for a relaxed CaFeW3 crystal.

Summary:
- E_tot: -7.109 eV per atom
- DFT formation energy: 3.3946 eV per atom

Lattice parameters (Å, degrees): 4.4818 4.4818 4.4818 90.00 90.00 90.00
Last column: nearest neighbours and their distance in Å.
Space group Pm-3m (No. 221)
One atom of each set of equivalent atoms:
Ca (0.0000, 0.0000, 0.0000) [1 per cell]  6 W 2.24
Fe (0.5000, 0.5000, 0.5000) [1 per cell]  12 W 3.17
W (0.0000, 0.0000, 0.5000) [3 per cell]  2 Ca 2.24

---

D(E_F), respectively: 3.4; 4.2; 7.8 states/eV/f.u..